1.
Below is CrCdOs2 after structural relaxation, with properties calculated at the PBE-GGA level.

extended XYZ file:
```
8
Lattice="2.876 0.000 0.000 0.000 4.626 0.000 0.000 0.000 9.207" Properties=species:S:1:pos:R:3 pbc="T T T"
Cr 0.000 0.000 0.000
Cr 1.438 2.313 0.000
Cd 0.000 0.000 4.604
Cd 1.438 2.313 4.604
Os 0.000 2.313 2.032
Os 0.000 2.313 7.175
Os 1.438 0.000 2.032
Os 1.438 0.000 7.175
```

Computed properties:
Its total energy is -62.219 eV for the cell shown. Its symmetry is Cmmm (65).

=====

2.
Below is CoReTc after structural relaxation, with properties calculated at the PBE-GGA level.

extended XYZ file:
```
12
Lattice="3.790 0.000 0.000 0.000 11.100 0.000 0.000 0.000 3.817" Properties=species:S:1:pos:R:3 pbc="T T T"
Co 0.000 0.888 0.954
Co 0.000 10.212 2.863
Co 1.895 4.662 2.863
Co 1.895 6.438 0.954
Re 0.000 4.661 0.954
Re 0.000 6.439 2.863
Re 1.895 0.889 2.863
Re 1.895 10.211 0.954
Tc 0.000 2.748 2.863
Tc 0.000 8.352 0.954
Tc 1.895 2.802 0.954
Tc 1.895 8.298 2.863
```

Computed properties:
Its total energy is -119.103 eV for the cell shown. Its energy relative to the lowest polymorph listed for this composition is 63.9 meV/atom. Its symmetry is Cmcm (63).

=====

3.
Below is La6TbSmEr2 after structural relaxation, with properties calculated at the PBE-GGA level.

extended XYZ file:
```
20
Lattice="4.664 -7.711 0.000 4.664 7.711 0.000 -1.508 0.000 9.755" Properties=species:S:1:pos:R:3 pbc="T T T"
La 2.370 4.285 1.864
La 3.199 5.024 5.392
La 3.867 5.024 9.241
La 3.182 1.631 3.693
La 6.204 4.285 3.014
La 5.393 1.631 1.185
La 2.428 -1.631 8.570
La 1.616 -4.285 6.741
La 4.639 -1.631 6.063
La 3.953 -5.024 0.514
La 4.621 -5.024 4.364
La 5.450 -4.285 7.892
Tb 4.287 7.306 2.439
Tb 3.533 -7.306 7.317
Sm 3.533 1.403 7.317
Sm 4.287 -1.403 2.439
Er 2.186 0.719 0.451
Er 1.432 -0.719 5.329
Er 6.389 0.719 4.426
Er 5.635 -0.719 9.304
```

Computed properties:
Its total energy is -93.993 eV for the cell shown. Its symmetry is C2/c (15).

=====

4.
Below is Pm2Dy12Pu after structural relaxation, with properties calculated at the PBE-GGA level.

extended XYZ file:
```
15
Lattice="3.497 0.000 0.000 0.000 5.695 0.000 -0.029 0.000 24.493" Properties=species:S:1:pos:R:3 pbc="T T T"
Pm -0.006 0.000 5.738
Pm 3.475 0.000 18.755
Dy -0.008 2.847 10.486
Dy -0.024 2.847 22.951
Dy 1.745 0.000 2.088
Dy 1.739 0.000 9.233
Dy 1.730 0.000 15.260
Dy 1.723 0.000 22.405
Dy 1.743 2.847 4.288
Dy 1.741 2.847 7.459
Dy 1.727 2.847 17.034
Dy 1.725 2.847 20.206
Dy 3.492 2.847 1.542
Dy 3.476 2.847 14.008
Pu -0.015 0.000 12.247
```

Computed properties:
Its total energy is -76.256 eV for the cell shown. Its symmetry is P2/m (10).

=====

5.
Below is SmEu2Tm after structural relaxation, with properties calculated at the PBE-GGA level.

extended XYZ file:
```
12
Lattice="3.577 0.000 0.000 -1.788 3.097 0.000 0.000 0.000 38.742" Properties=species:S:1:pos:R:3 pbc="T T T"
Sm 0.000 0.000 0.000
Sm 0.000 2.065 25.828
Sm 1.788 1.032 12.914
Eu 0.000 0.000 16.037
Eu 0.000 0.000 22.705
Eu 0.000 2.065 3.123
Eu 0.000 2.065 9.791
Eu 1.788 1.032 28.951
Eu 1.788 1.032 35.618
Tm 0.000 0.000 19.371
Tm 0.000 2.065 6.457
Tm 1.788 1.032 32.285
```

Computed properties:
Its total energy is -86.339 eV for the cell shown. Its energy relative to the lowest polymorph listed for this composition is 124.1 meV/atom. Its symmetry is R-3m (166).

=====

6.
Below is TcHgPb2 after structural relaxation, with properties calculated at the PBE-GGA level.

extended XYZ file:
```
4
Lattice="3.277 0.000 0.000 0.000 3.277 0.000 0.000 0.000 9.390" Properties=species:S:1:pos:R:3 pbc="T T T"
Tc 0.000 0.000 0.000
Hg 0.000 0.000 4.695
Pb 1.639 1.639 1.827
Pb 1.639 1.639 7.563
```

Computed properties:
Its total energy is -16.427 eV for the cell shown. Its symmetry is P4/mmm (123).

=====

7.
Below is Sc2CrHg after structural relaxation, with properties calculated at the PBE-GGA level.

extended XYZ file:
```
8
Lattice="4.219 0.000 0.000 0.000 4.219 0.000 0.000 0.000 9.062" Properties=species:S:1:pos:R:3 pbc="T T T"
Sc 0.000 0.000 0.000
Sc 0.000 2.109 2.266
Sc 2.109 0.000 6.797
Sc 2.109 2.109 4.531
Cr 0.000 2.109 6.797
Cr 2.109 0.000 2.266
Hg 0.000 0.000 4.531
Hg 2.109 2.109 0.000
```

Computed properties:
Its total energy is -44.936 eV for the cell shown. Its symmetry is I-4m2 (119).

=====

8.
Below is CePuPaPb after structural relaxation, with properties calculated at the PBE-GGA level.

extended XYZ file:
```
16
Lattice="7.526 0.000 0.000 0.000 7.526 0.000 0.000 0.000 7.526" Properties=species:S:1:pos:R:3 pbc="T T T"
Ce 0.000 0.000 0.000
Ce 0.000 3.763 3.763
Ce 3.763 0.000 3.763
Ce 3.763 3.763 0.000
Pu 0.000 0.000 3.763
Pu 0.000 3.763 0.000
Pu 3.763 0.000 0.000
Pu 3.763 3.763 3.763
Pa 1.882 1.882 5.645
Pa 1.882 5.645 1.882
Pa 5.645 1.882 1.882
Pa 5.645 5.645 5.645
Pb 1.882 1.882 1.882
Pb 1.882 5.645 5.645
Pb 5.645 1.882 5.645
Pb 5.645 5.645 1.882
```

Computed properties:
Its total energy is -132.416 eV for the cell shown. Its symmetry is F-43m (216).

=====

Repeat the fourth record exactly.
Below is Pm2Dy12Pu after structural relaxation, with properties calculated at the PBE-GGA level.

extended XYZ file:
```
15
Lattice="3.497 0.000 0.000 0.000 5.695 0.000 -0.029 0.000 24.493" Properties=species:S:1:pos:R:3 pbc="T T T"
Pm -0.006 0.000 5.738
Pm 3.475 0.000 18.755
Dy -0.008 2.847 10.486
Dy -0.024 2.847 22.951
Dy 1.745 0.000 2.088
Dy 1.739 0.000 9.233
Dy 1.730 0.000 15.260
Dy 1.723 0.000 22.405
Dy 1.743 2.847 4.288
Dy 1.741 2.847 7.459
Dy 1.727 2.847 17.034
Dy 1.725 2.847 20.206
Dy 3.492 2.847 1.542
Dy 3.476 2.847 14.008
Pu -0.015 0.000 12.247
```

Computed properties:
Its total energy is -76.256 eV for the cell shown. Its symmetry is P2/m (10).